a | Entry from Alexandria: a relaxed LiAl2Rh2 crystal (GGA-PBEsol).

calculated density = 6.19 g/cm³
SG = P4/mbm (127)

The structure in extended XYZ format:
```
10
Lattice="-0.981 0.780 -2.605 -1.077 -6.761 -1.619 -6.530 0.422 2.584" Properties=species:S:1:pos:R:3 pbc="T T T"
Rh -2.451 -0.862 0.664
Rh -1.675 -4.327 -0.665
Rh -5.157 -5.478 0.301
Rh -5.933 -2.012 1.631
Li -3.804 -3.170 0.483
Li 0.000 0.000 0.000
Al -4.872 -0.329 0.131
Al -6.759 -3.623 -0.144
Al -3.716 -5.230 -1.771
Al -1.829 -1.937 -1.495
```

***

b | Entry from Alexandria: a relaxed LiAl2Rh2 crystal (GGA-PBEsol).

calculated density = 5.41 g/cm³
SG = I4/mmm (139)

The structure in extended XYZ format:
```
5
Lattice="3.876 0.000 0.000 0.000 3.876 0.000 -1.938 -1.938 5.449" Properties=species:S:1:pos:R:3 pbc="T T T"
Al 1.938 0.000 2.724
Al 0.000 1.938 2.724
Li 0.000 0.000 0.000
Rh 0.000 0.000 4.198
Rh 1.938 1.938 1.250
```

***

Relative energy table, unit eV/atom: a 0.000; b 0.361

***

a | Entry from Alexandria: a relaxed Li2AlTe crystal (GGA-PBEsol).

calculated density = 3.49 g/cm³
SG = Fm-3m (225)

The structure in extended XYZ format:
```
4
Lattice="-0.723 -4.074 2.508 -1.739 -3.931 -2.221 2.863 -3.831 -0.731" Properties=species:S:1:pos:R:3 pbc="T T T"
Al 0.000 0.000 0.000
Te 0.201 -5.918 -0.222
Li 0.301 -8.878 -0.333
Li 0.100 -2.959 -0.111
```

***

b | Entry from Alexandria: a relaxed Li2AlTe crystal (GGA-PBEsol).

calculated density = 3.44 g/cm³
SG = R-3m (166)

The structure in extended XYZ format:
```
4
Lattice="3.246 0.000 0.000 1.623 2.811 0.000 1.623 0.937 8.908" Properties=species:S:1:pos:R:3 pbc="T T T"
Li 1.623 0.937 2.276
Li 4.869 2.811 6.632
Al 0.000 0.000 0.000
Te 3.246 1.874 4.454
```

***

c | Entry from Alexandria: a relaxed Li2AlTe crystal (GGA-PBEsol).

calculated density = 3.26 g/cm³
SG = F-43m (216)

The structure in extended XYZ format:
```
4
Lattice="4.953 0.000 0.000 2.476 4.289 0.000 2.476 1.430 4.044" Properties=species:S:1:pos:R:3 pbc="T T T"
Al 4.953 2.859 2.022
Te 2.476 1.430 1.011
Li 0.000 0.000 0.000
Li 7.429 4.289 3.033
```

***

Relative energy table, unit eV/atom: a 0.000; b 0.089; c 0.154

***

a | Entry from Alexandria: a relaxed LiAl2Tl crystal (GGA-PBEsol).

calculated density = 5.47 g/cm³
SG = Fm-3m (225)

The structure in extended XYZ format:
```
4
Lattice="4.848 0.000 0.000 2.424 4.199 0.000 2.424 1.400 3.959" Properties=species:S:1:pos:R:3 pbc="T T T"
Al 2.424 1.400 0.990
Al 7.273 4.199 2.969
Tl 4.848 2.799 1.979
Li 0.000 0.000 0.000
```

***

b | Entry from Alexandria: a relaxed LiAl2Tl crystal (GGA-PBEsol).

calculated density = 5.67 g/cm³
SG = P4/mmm (123)

The structure in extended XYZ format:
```
4
Lattice="-0.266 -1.551 -2.602 2.624 1.187 -0.976 4.185 -6.441 3.412" Properties=species:S:1:pos:R:3 pbc="T T T"
Tl 3.271 -3.403 -0.083
Li 1.179 -0.182 -1.789
Al 0.898 -1.381 0.732
Al 3.288 -5.060 2.680
```

***

c | Entry from Alexandria: a relaxed LiAl2Tl crystal (GGA-PBEsol).

calculated density = 5.85 g/cm³
SG = I4/mmm (139)

The structure in extended XYZ format:
```
4
Lattice="-1.783 -0.687 3.584 -0.996 -3.753 -1.215 5.328 0.639 0.471" Properties=species:S:1:pos:R:3 pbc="T T T"
Al 1.968 -0.790 0.827
Al 0.581 -3.011 2.013
Li -0.891 -0.343 1.792
Tl -0.498 -1.877 -0.607
```

***

Relative energy table, unit eV/atom: a 0.178; b 0.113; c 0.000

***

a | Entry from Alexandria: a relaxed Lu3AlO6 crystal (GGA-PBEsol).

calculated density = 9.04 g/cm³
SG = Cmc2_1 (36)

The structure in extended XYZ format:
```
20
Lattice="5.217 0.000 0.000 0.000 6.839 0.008 0.000 -1.519 6.668" Properties=species:S:1:pos:R:3 pbc="T T T"
Al 5.164 0.111 5.370
Al 2.555 5.209 1.306
O 4.260 -0.148 3.861
O 1.699 0.281 5.234
O 4.157 3.662 4.294
O 4.463 -1.175 6.394
O 4.157 1.952 2.148
O 1.548 3.368 4.528
O 1.651 3.796 0.717
O 1.854 6.495 0.281
O 4.260 1.524 5.958
O 1.651 5.468 2.815
O 4.308 5.039 1.442
O 1.548 1.658 2.382
Lu 2.983 1.808 4.017
Lu 0.119 0.143 1.984
Lu 0.374 3.513 2.658
Lu 2.727 1.902 0.582
Lu 0.119 3.418 6.093
Lu 2.727 5.177 4.691
```

***

b | Entry from Alexandria: a relaxed Lu3AlO6 crystal (GGA-PBEsol).

calculated density = 8.94 g/cm³
SG = R-3 (148)

The structure in extended XYZ format:
```
20
Lattice="6.225 -0.021 -0.022 -0.240 6.221 -0.022 -0.240 -0.248 6.216" Properties=species:S:1:pos:R:3 pbc="T T T"
Lu 2.304 4.395 5.746
Lu 3.442 1.557 0.426
Lu 0.248 3.453 1.572
Lu 5.498 2.499 4.601
Lu 4.311 5.653 2.665
Lu 1.435 0.299 3.508
O 3.339 2.633 4.921
O 3.232 1.158 2.566
O 4.135 5.752 0.428
O 5.603 0.270 4.347
O 2.407 3.319 1.251
O 1.611 0.199 5.744
O 0.073 4.140 5.764
O 2.514 4.793 3.606
O 1.044 2.445 3.362
O 4.702 3.507 2.810
O 5.673 1.811 0.408
O 0.143 5.682 1.825
Al 2.873 2.976 3.086
Al 0.000 0.000 0.000
```

***

Relative energy table, unit eV/atom: a 0.012; b 0.000

***

a | Entry from Alexandria: a relaxed NaMg16Al12 crystal (GGA-PBEsol).

calculated density = 2.12 g/cm³
SG = Cm (8)

The structure in extended XYZ format:
```
29
Lattice="9.065 -0.005 -0.007 -2.968 8.566 -0.007 -3.043 -4.272 7.444" Properties=species:S:1:pos:R:3 pbc="T T T"
Mg 3.286 -0.488 5.078
Mg 2.021 2.838 4.895
Mg -1.043 -1.464 2.566
Mg 0.283 4.403 2.961
Mg -1.535 2.947 5.078
Mg -1.942 5.990 4.467
Mg -2.882 4.291 7.433
Mg 4.490 -1.351 2.350
Mg 0.008 0.011 0.006
Mg 3.305 4.640 2.113
Mg 4.997 -1.321 7.433
Mg 1.069 5.160 0.006
Mg 4.527 2.696 0.006
Mg 4.069 1.707 2.961
Mg 6.296 0.123 4.467
Mg -2.745 3.802 2.350
Al -1.310 6.210 1.366
Al 1.690 2.373 1.322
Al 2.472 5.848 4.695
Al -0.570 1.584 2.685
Al 4.719 4.247 4.695
Al 1.684 -0.021 2.685
Al 3.320 6.994 0.020
Al 5.525 5.424 0.020
Al 6.297 0.792 1.366
Al -1.393 -1.955 6.088
Al 4.707 1.930 6.049
Al 0.286 5.079 6.049
Na 0.275 0.387 5.358
```

***

b | Entry from Alexandria: a relaxed NaMg16Al12 crystal (GGA-PBEsol).

calculated density = 2.12 g/cm³
SG = I-43m (217)

The structure in extended XYZ format:
```
29
Lattice="-3.067 7.268 -4.502 5.022 -5.117 -5.576 -7.038 -4.862 3.055" Properties=species:S:1:pos:R:3 pbc="T T T"
Al -6.932 2.845 -1.735
Al -7.657 0.629 -0.354
Al -5.387 -3.572 0.615
Al 2.150 0.421 -7.373
Al -0.564 -0.094 -3.165
Al -0.353 -7.227 -2.608
Al -2.557 -7.180 -1.031
Al -1.305 -2.359 -1.754
Al -2.816 -0.046 -1.553
Al -2.883 4.076 -4.150
Al 2.217 -3.733 -4.827
Al 0.672 2.684 -7.176
Mg 1.743 -1.776 -1.934
Mg -3.319 -1.770 -4.586
Mg -1.064 2.522 -1.562
Mg -2.251 -4.757 -3.005
Mg -0.665 0.088 -6.023
Mg 2.047 -0.776 -4.771
Mg -0.443 -2.700 -4.567
Mg -0.255 2.747 -4.466
Mg -5.196 -0.622 0.412
Mg -4.255 -2.620 -1.839
Mg 0.792 -4.610 -2.383
Mg -2.442 -1.687 1.060
Mg -4.067 2.828 -1.738
Mg -5.482 0.190 -2.576
Mg -2.639 -4.537 0.072
Mg -3.000 1.215 -4.228
Na 0.000 0.000 0.000
```

***

Relative energy table, unit eV/atom: a 0.009; b 0.000

***

a | Entry from Alexandria: a relaxed MgAl2O4 crystal (GGA-PBEsol).

calculated density = 3.61 g/cm³
SG = Imma (74)

The structure in extended XYZ format:
```
14
Lattice="5.660 0.000 0.000 2.830 4.949 0.008 2.830 1.619 4.676" Properties=species:S:1:pos:R:3 pbc="T T T"
O 2.830 1.542 1.094
O 4.328 4.138 1.191
O 5.660 4.820 3.444
O 4.328 2.429 3.494
O 6.992 4.138 1.191
O 5.660 1.748 1.241
O 6.992 2.429 3.494
O 8.490 5.026 3.591
Al 2.830 0.000 0.000
Al 2.830 1.566 2.878
Al 5.660 3.284 2.342
Al 8.490 5.001 1.807
Mg 1.415 2.474 0.004
Mg 4.245 2.474 0.004
```

***

b | Entry from Alexandria: a relaxed MgAl2O4 crystal (GGA-PBEsol).

calculated density = 3.54 g/cm³
SG = Fd-3m (227)

The structure in extended XYZ format:
```
14
Lattice="-4.449 -1.769 3.156 -1.847 -5.412 -0.429 0.834 -3.666 4.330" Properties=species:S:1:pos:R:3 pbc="T T T"
Al -2.490 -4.073 4.625
Al -3.414 -6.779 4.411
Al -3.831 -4.946 2.246
Al -1.189 -5.894 2.833
O -1.751 -5.848 4.672
O -2.723 -8.555 4.673
O -4.105 -5.003 4.149
O -3.882 -6.932 6.270
O -2.123 -4.215 2.742
O -4.705 -9.343 6.079
O -2.946 -6.626 2.551
O -5.077 -7.710 4.150
Mg -1.366 -2.712 1.764
Mg 0.000 0.000 0.000
```

***

Relative energy table, unit eV/atom: a 0.050; b 0.000